# 1
# NiSn PBE optimized geometry
# ΔH_f (0 K) = -45 meV per atom
# total energy = -9.87 eV per formula unit
# size of the total moment = 0.000 μB per formula unit
data_NiSn
_space_group_name_H-M_alt 'I 4/m m m'
_space_group_IT_number 139
_space_group_name_Hall '-I 4 2'
_cell_length_a 8.249
_cell_length_b 8.249
_cell_length_c 4.113
_cell_angle_alpha 90.00
_cell_angle_beta 90.00
_cell_angle_gamma 90.00
loop_
_atom_site_label
_atom_site_fract_x
_atom_site_fract_y
_atom_site_fract_z
Ni1 0.174 0.174 0.000
Sn1 0.000 0.274 0.500

=====

# 2
# SrCaMg2 PBE optimized geometry
# ΔH_f (0 K) = -72 meV per atom
# total energy = -7.16 eV per formula unit
# size of the total moment = 0.000 μB per formula unit
data_SrCaMg2
_space_group_name_H-M_alt 'P m m m'
_space_group_IT_number 47
_cell_length_a 4.004
_cell_length_b 4.173
_cell_length_c 8.109
_cell_angle_alpha 90.00
_cell_angle_beta 90.00
_cell_angle_gamma 90.00
loop_
_space_group_symop_operation_xyz
'x,y,z'
'-x,-y,-z'
'-x,-y,z'
'x,y,-z'
'x,-y,-z'
'-x,y,z'
'-x,y,-z'
'x,-y,z'
loop_
_atom_site_label
_atom_site_fract_x
_atom_site_fract_y
_atom_site_fract_z
Sr1 0.000 0.000 0.000
Ca1 0.000 0.000 0.500
Mg1 0.500 0.500 0.271

=====

# 3
# DyGa3Os PBE optimized geometry
# distance to the lowest polymorph of the same formula = 251 meV per atom
# ΔH_f (0 K) = -236 meV per atom
# total energy = -26.09 eV per formula unit
# size of the total moment = 0.000 μB per formula unit
data_DyGa3Os
_space_group_name_H-M_alt 'C m c m'
_space_group_IT_number 63
_space_group_name_Hall '-C 2c 2'
_cell_length_a 7.296
_cell_length_b 10.930
_cell_length_c 9.162
_cell_angle_alpha 90.00
_cell_angle_beta 90.00
_cell_angle_gamma 90.00
loop_
_atom_site_label
_atom_site_fract_x
_atom_site_fract_y
_atom_site_fract_z
Dy1 0.000 0.134 0.250
Dy2 0.000 0.349 0.750
Ga1 0.000 0.105 0.582
Ga2 0.179 0.500 0.000
Ga3 0.193 0.367 0.250
Os1 0.250 0.250 0.000

=====

# 4
# Zr3VS6 PBE optimized geometry
# uncorrected formation energy = -124.9 kJ per mole of atoms
# total energy = -72.48 eV per formula unit
# size of the total moment = 2.666 μB per formula unit
data_Zr3VS6
_space_group_name_H-M_alt 'R -3'
_space_group_IT_number 148
_space_group_name_Hall '-R 3'
_cell_length_a 10.3127
_cell_length_b 10.3127
_cell_length_c 13.2503
_cell_angle_alpha 90.00
_cell_angle_beta 90.00
_cell_angle_gamma 120.00
loop_
_atom_site_label
_atom_site_fract_x
_atom_site_fract_y
_atom_site_fract_z
Zr1 0.0406 0.4493 0.3771
V1 0.0000 0.0000 0.0000
V2 0.0000 0.0000 0.5000
S1 0.0076 0.8121 0.1116
S2 0.0342 0.1926 0.3762